(1)
Compound: PuFeBiO6
Source: Alexandria via LeMat-Bulk
Functional: GGA+U
Structure: relaxed

Structure (POSCAR):
```
PuFeBiO6
1.0
-1.949 -3.421 -3.721
4.533 2.794 -0.999
5.442 -7.412 3.965
O Bi Pu Fe
12 2 2 2
direct
0.996 0.640 0.861 O
0.640 0.644 0.139 O
0.360 0.356 0.861 O
0.644 0.004 0.861 O
0.640 0.996 0.361 O
0.356 0.996 0.139 O
0.360 0.004 0.639 O
0.996 0.356 0.639 O
0.004 0.360 0.139 O
0.356 0.360 0.361 O
0.644 0.640 0.639 O
0.004 0.644 0.361 O
0.000 0.000 0.500 Bi
0.000 0.000 0.000 Bi
0.667 0.333 0.250 Pu
0.333 0.667 0.750 Pu
0.667 0.333 0.750 Fe
0.333 0.667 0.250 Fe
```

Calculated values
The value obtained for the energy is -140.4 eV per cell. The total magnetization comes out at 7.0 μB/f.u.



(2)
Compound: RbFeBiO4
Source: Alexandria via LeMat-Bulk
Functional: GGA+U
Structure: relaxed

Structure (POSCAR):
```
RbFeBiO4
1.0
5.985 0.000 -0.314
0.000 6.080 0.000
-2.731 0.000 7.450
O Fe Bi Rb
8 2 2 2
direct
0.513 0.750 0.570 O
0.544 0.250 0.794 O
0.456 0.750 0.206 O
0.972 0.475 0.670 O
0.972 0.025 0.670 O
0.487 0.250 0.430 O
0.028 0.975 0.330 O
0.028 0.525 0.330 O
0.259 0.750 0.341 Fe
0.741 0.250 0.659 Fe
0.195 0.250 0.533 Bi
0.805 0.750 0.467 Bi
0.669 0.750 0.941 Rb
0.331 0.250 0.059 Rb
```

Calculated values
The value obtained for the energy is -77.8 eV per cell. The total magnetization comes out at 4.1 μB/f.u.



(3)
Compound: Rb2FeBiO4
Source: Alexandria via LeMat-Bulk
Functional: GGA+U
Structure: relaxed

Structure (POSCAR):
```
Rb2FeBiO4
1.0
-0.325 -4.905 -3.570
3.867 2.125 -4.909
1.444 -0.174 6.096
O Rb Bi Fe
4 2 1 1
direct
0.983 0.131 0.680 O
0.328 0.714 0.185 O
0.857 0.470 0.185 O
0.697 0.549 0.680 O
0.264 0.264 0.528 Rb
0.518 0.018 0.036 Rb
0.760 0.760 0.521 Bi
0.980 0.480 0.959 Fe
```

Calculated values
The value obtained for the energy is -42.3 eV per cell. The total magnetization comes out at 5.0 μB/f.u.